The following is a DFT calculation (GGA+U) of Fe2PtRhO after structural relaxation.

Output
Electronic total energy, eV/atom: -4.56

abc: 4.9052 4.9052 4.6839
angles: 90.00 90.00 90.00
Space group P4/mmm (No. 123)
Inequivalent atoms, fractional coordinates:
Fe1 0.0000 0.5000 0.0000 [2 per cell]
Pt1 0.0000 0.0000 0.5000 [1 per cell]
Rh1 0.0000 0.0000 0.0000 [1 per cell]
O1 0.5000 0.5000 0.5000 [1 per cell]